Version 1
The following is a DFT calculation (PBE) of AlSbNF2 after structural relaxation.

Structure (extended XYZ):
```
5
Lattice="4.568 0.000 0.000 0.000 4.568 0.000 0.000 0.000 4.058" Properties=species:S:1:pos:R:3 pbc="T T T"
Al 0.000 0.000 0.000
Sb 2.284 2.284 2.029
N 2.284 2.284 0.000
F 0.000 2.284 2.029
F 2.284 0.000 2.029
```

Results
Spin magnetization (μB/f.u.): 0.00
SG: P4/mmm
Mass density (g/cm3): 3.937
Volume (Å³ per atom): 16.9


Version 2
The following is a DFT calculation (PBE) of AlSbNF2 after structural relaxation.

Structure (extended XYZ):
```
5
Lattice="3.894 0.000 0.000 0.000 3.894 0.000 0.000 0.000 3.967" Properties=species:S:1:pos:R:3 pbc="T T T"
Al 0.000 0.000 0.000
Sb 1.947 1.947 1.983
N 0.000 0.000 1.983
F 0.000 1.947 0.000
F 1.947 0.000 0.000
```

Results
Spin magnetization (μB/f.u.): 0.00
SG: P4/mmm
Mass density (g/cm3): 5.541
Volume (Å³ per atom): 12.0


Which of them is the least stable? Correct choice: version 1.


Version 1
The following is a DFT calculation (PBE) of AlSeN2F after structural relaxation.

Structure (extended XYZ):
```
5
Lattice="3.914 0.000 0.000 0.000 3.914 0.000 0.000 0.000 4.109" Properties=species:S:1:pos:R:3 pbc="T T T"
Al 0.000 0.000 0.000
Se 1.957 1.957 2.055
N 0.000 1.957 2.055
N 1.957 0.000 2.055
F 1.957 1.957 0.000
```

Results
Spin magnetization (μB/f.u.): 0.21
SG: P4/mmm
Mass density (g/cm3): 4.034
Volume (Å³ per atom): 12.6


Version 2
The following is a DFT calculation (PBE) of AlSeN2F after structural relaxation.

Structure (extended XYZ):
```
5
Lattice="4.025 0.000 0.000 0.000 4.025 0.000 0.000 0.000 4.086" Properties=species:S:1:pos:R:3 pbc="T T T"
Al 0.000 0.000 0.000
Se 2.012 2.012 0.000
N 0.000 2.012 2.043
N 2.012 0.000 2.043
F 2.012 2.012 2.043
```

Results
Spin magnetization (μB/f.u.): 1.72
SG: P4/mmm
Mass density (g/cm3): 3.837
Volume (Å³ per atom): 13.2


Which of them is the least stable? Correct choice: version 2.


Version 1
The following is a DFT calculation (PBE) of AlSeN2F after structural relaxation.

Structure (extended XYZ):
```
5
Lattice="3.938 0.000 0.000 0.000 3.938 0.000 0.000 0.000 3.528" Properties=species:S:1:pos:R:3 pbc="T T T"
Al 0.000 0.000 0.000
Se 1.969 1.969 1.764
N 0.000 1.969 0.000
N 1.969 0.000 0.000
F 0.000 0.000 1.764
```

Results
Spin magnetization (μB/f.u.): 0.00
SG: P4/mmm
Mass density (g/cm3): 4.644
Volume (Å³ per atom): 10.9


Version 2
The following is a DFT calculation (PBE) of AlSeN2F after structural relaxation.

Structure (extended XYZ):
```
5
Lattice="3.626 0.000 0.000 0.000 3.626 0.000 0.000 0.000 5.549" Properties=species:S:1:pos:R:3 pbc="T T T"
Al 0.000 0.000 0.000
Se 0.000 0.000 2.775
N 0.000 1.813 0.000
N 1.813 0.000 0.000
F 1.813 1.813 2.775
```

Results
Spin magnetization (μB/f.u.): 1.57
SG: P4/mmm
Mass density (g/cm3): 3.482
Volume (Å³ per atom): 14.6


Which of them is the least stable? Correct choice: version 2.